Crystalline Th2In3Hg4 at its relaxed geometry. Source: Alexandria via LeMat-Bulk, functional PBE.

Computed properties:
**E_tot**: -51.12 eV for the cell shown
**Space-group type**: Cmce, No. 64
**Density**: 11.6 g/cm3
**Total moment**: 0.000 μB/cell

Cell lengths 6.3782, 8.8501, 8.7932 Å; angles 90.00, 111.26, 90.00 degrees
With the nearest neighbours (Å) after each atom.
Sites, in units of the cell vectors:
Hg 0.7887 0.2500 0.0774  3 In 2.80-2.86
Th 0.8851 0.4288 0.7702  8 Hg 3.36-3.57, 6 In 3.60-3.76
Hg 0.6780 0.5530 0.3560  5 In 2.95-3.17
Hg 0.7113 0.7500 0.9226  3 In 2.80-2.86
Hg 0.3220 0.4470 0.6440  5 In 2.95-3.17
In 0.0367 0.7500 0.5733  5 Hg 2.86-3.17, 2 In 3.19
Hg 0.1780 0.9470 0.3560  5 In 2.95-3.17
Hg 0.2113 0.7500 0.9226  3 In 2.80-2.86
Th 0.1149 0.5712 0.2298  8 Hg 3.36-3.57, 6 In 3.60-3.76
In 0.5000 0.5000 0.0000  6 Hg 2.80-2.95
In 0.4633 0.2500 0.4267  5 Hg 2.86-3.17, 2 In 3.19
Hg 0.2887 0.2500 0.0774  3 In 2.80-2.86
Th 0.3851 0.0712 0.7702  8 Hg 3.36-3.57, 6 In 3.60-3.76
Hg 0.8220 0.0530 0.6440  5 In 2.95-3.17
Th 0.6149 0.9288 0.2298  8 Hg 3.36-3.57, 6 In 3.60-3.76
In 0.0000 0.0000 0.0000  6 Hg 2.80-2.95
In 0.5367 0.7500 0.5733  5 Hg 2.86-3.17, 2 In 3.19
In 0.9633 0.2500 0.4267  5 Hg 2.86-3.17, 2 In 3.19